Crystalline ReHRh2 at its relaxed geometry, computed with PBE-GGA.

- Space group: R-3m, No. 166
- Total DFT energy (no corrections): -7.6674 eV/atom

Cell: 2.7604 2.7604 7.0681 Å, 78.74 78.74 60.00°
Last column: nearest neighbours and their distance in Å.
Fractional coordinates of all 4 atoms:
Re 0.5000 0.5000 0.5000  6 Rh 2.71, 6 Re 2.76
Rh 0.7275 0.7275 0.8176  3 H 2.03
Rh 0.2725 0.2725 0.1824  3 H 2.03
H 0.0000 0.0000 0.0000  6 Rh 2.03

---

Crystalline ReHRh2 at its relaxed geometry, computed with PBE-GGA.

- Space group: I-42d, No. 122
- Total DFT energy (no corrections): -7.3597 eV/atom

Cell: 6.1050 6.1050 5.0106 Å, 52.47 52.47 90.00°
Last column: nearest neighbours and their distance in Å.
Fractional coordinates of all 8 atoms:
Re 0.0000 0.0000 0.0000  2 H 2.54, 8 Rh 2.60-2.71
Re 0.7500 0.2500 0.5000  2 H 2.54, 8 Rh 2.60-2.71
Rh 0.5223 0.1250 0.2500  2 H 1.88
Rh 0.2277 0.6250 0.2500  2 H 1.88
Rh 0.3750 0.4777 0.7500  2 H 1.88
Rh 0.8750 0.7723 0.7500  2 H 1.88
H 0.5000 0.5000 0.0000  4 Rh 1.88
H 0.2500 0.7500 0.5000  4 Rh 1.88

---

Crystalline Re2HRh at its relaxed geometry, computed with PBE-GGA.

- Space group: Fm-3m, No. 225
- Total DFT energy (no corrections): -7.9633 eV/atom

Cell: 4.1893 4.1893 4.1893 Å, 60.00 60.00 60.00°
Last column: nearest neighbours and their distance in Å.
Fractional coordinates of all 4 atoms:
Re 0.2500 0.2500 0.2500  4 H 2.57, 4 Rh 2.57
Re 0.7500 0.7500 0.7500  4 H 2.57, 4 Rh 2.57
Rh 0.5000 0.5000 0.5000  8 Re 2.57
H 0.0000 0.0000 0.0000  8 Re 2.57

---

Crystalline ReHRh2 at its relaxed geometry, computed with PBE-GGA.

- Space group: P4/mmm, No. 123
- Total DFT energy (no corrections): -7.4822 eV/atom

Cell: 2.7370 2.7370 6.3184 Å, 90.00 90.00 90.00°
Last column: nearest neighbours and their distance in Å.
Fractional coordinates of all 4 atoms:
Re 0.5000 0.5000 0.5000  8 Rh 2.67, 4 Re 2.74
Rh 0.0000 0.0000 0.7920  4 H 2.34
Rh 0.0000 0.0000 0.2080  4 H 2.34
H 0.5000 0.5000 0.0000  8 Rh 2.34

---

Look up the total DFT energy (no corrections) of the fourth one.
-7.4822 eV/atom

---

Which of these has the highest total DFT energy (no corrections)?
number 2

---

total DFT energy (no corrections) of number 4 (ReHRh2)?
-7.4822 eV/atom

---

Copy entry 2 word for word.
Crystalline ReHRh2 at its relaxed geometry, computed with PBE-GGA.

- Space group: I-42d, No. 122
- Total DFT energy (no corrections): -7.3597 eV/atom

Cell: 6.1050 6.1050 5.0106 Å, 52.47 52.47 90.00°
Last column: nearest neighbours and their distance in Å.
Fractional coordinates of all 8 atoms:
Re 0.0000 0.0000 0.0000  2 H 2.54, 8 Rh 2.60-2.71
Re 0.7500 0.2500 0.5000  2 H 2.54, 8 Rh 2.60-2.71
Rh 0.5223 0.1250 0.2500  2 H 1.88
Rh 0.2277 0.6250 0.2500  2 H 1.88
Rh 0.3750 0.4777 0.7500  2 H 1.88
Rh 0.8750 0.7723 0.7500  2 H 1.88
H 0.5000 0.5000 0.0000  4 Rh 1.88
H 0.2500 0.7500 0.5000  4 Rh 1.88